(1)
## Sn2ICl (GGA-PBE)

Data for crystalline Sn2ICl at its relaxed geometry.

Properties
The uncorrected formation energy is -0.25 eV/atom. The total DFT energy (no corrections) comes out at -49.61 eV for the cell shown. Its size of the total moment is 0.00 μB/f.u. The energy above the lowest structure with this stoichiometry comes out at 0.000 eV per atom.

Unit cell a=5.390 b=5.390 c=19.649 alpha=90.00 beta=90.00 gamma=90.00
Space group I-42d (No. 122)
Inequivalent atoms, fractional coordinates:
Sn 0.138 0.250 0.125 (multiplicity 8)
I 0.000 0.000 0.500 (multiplicity 4)
Cl 0.000 0.000 0.000 (multiplicity 4)

---

(2)
## TbSeF (GGA-PBE)

Data for crystalline TbSeF at its relaxed geometry.

Properties
The uncorrected formation energy is -2.83 eV/atom. The total DFT energy (no corrections) comes out at -73.85 eV for the cell shown. Its size of the total moment is 0.00 μB/f.u.

Unit cell a=10.428 b=3.805 c=7.149 alpha=90.00 beta=119.43 gamma=90.00
Space group C2/m (No. 12)
Inequivalent atoms, fractional coordinates:
Tb 0.178 0.000 0.230 (multiplicity 4)
Se 0.076 0.500 0.851 (multiplicity 4)
F 0.208 0.000 0.581 (multiplicity 4)

---

(3)
## AcTm2AlPt4 (GGA-PBE)

Data for crystalline AcTm2AlPt4 at its relaxed geometry.

Properties
The total DFT energy (no corrections) comes out at -150.05 eV for the cell shown. Its energy relative to the elements is -1.132 eV per atom. Its size of the total moment is 0.00 μB/f.u.

Unit cell a=4.6586 b=4.6586 c=27.4923 alpha=90.00 beta=90.00 gamma=120.00
Space group R-3m (No. 166, hexagonal axes)
Inequivalent atoms, fractional coordinates:
Ac 0.0000 0.0000 0.0000 (multiplicity 3)
Tm 0.0000 0.0000 0.2367 (multiplicity 6)
Al 0.0000 0.0000 0.5000 (multiplicity 3)
Pt 0.0000 0.0000 0.1361 (multiplicity 6)
Pt 0.0000 0.0000 0.4015 (multiplicity 6)

---

(4)
## Sr2Ta (GGA-PBE)

Data for crystalline Sr2Ta at its relaxed geometry.

Properties
The total DFT energy (no corrections) comes out at -23.22 eV for the cell shown. Its energy relative to the elements is 1.202 eV per atom. Its size of the total moment is 2.85 μB/f.u. The energy above the lowest structure with this stoichiometry comes out at 0.588 eV per atom.

Unit cell a=5.8270 b=5.8270 c=7.1600 alpha=90.00 beta=90.00 gamma=120.00
Space group P6_3/mmc (No. 194)
Inequivalent atoms, fractional coordinates:
Sr 0.0000 0.0000 0.0000 (multiplicity 2)
Sr 0.3333 0.6667 0.2500 (multiplicity 2)
Ta 0.3333 0.6667 0.7500 (multiplicity 2)

---

(5)
## Ac5Pm6Dy (GGA-PBE)

Data for crystalline Ac5Pm6Dy at its relaxed geometry.

Properties
The total DFT energy (no corrections) comes out at -106.31 eV for the cell shown. Its energy relative to the elements is 0.041 eV per atom. Its size of the total moment is 0.00 μB/f.u.

Unit cell a=5.398 b=10.512 c=16.190 alpha=90.00 beta=90.00 gamma=90.00
Space group Immm (No. 71)
Inequivalent atoms, fractional coordinates:
Ac 0.000 0.000 0.000 (multiplicity 2)
Ac 0.000 0.000 0.338 (multiplicity 4)
Ac 0.000 0.500 0.333 (multiplicity 4)
Pm 0.000 0.247 0.500 (multiplicity 4)
Pm 0.000 0.253 0.165 (multiplicity 8)
Dy 0.000 0.500 0.000 (multiplicity 2)

---

(6)
## CaBeSb2Pd (GGA-PBE)

Data for crystalline CaBeSb2Pd at its relaxed geometry.

Properties
The uncorrected formation energy is -0.18 eV/atom. The total DFT energy (no corrections) comes out at -20.08 eV for the cell shown. Its size of the total moment is 0.00 μB/f.u.

Unit cell a=5.049 b=5.049 c=4.392 alpha=90.00 beta=90.00 gamma=90.00
Space group P4/mmm (No. 123)
Inequivalent atoms, fractional coordinates:
Ca 0.000 0.000 0.000 (multiplicity 1)
Be 0.500 0.500 0.500 (multiplicity 1)
Sb 0.000 0.500 0.500 (multiplicity 2)
Pd 0.500 0.500 0.000 (multiplicity 1)